Entry from the Alexandria database: Mg2Sn2Pt after structural relaxation (PBE-GGA).

abc: 6.9565 6.9565 4.5609
angles: 90.00 90.00 90.00
Sites, in units of the cell vectors:
Mg 0.1527 0.3473 0.0000
Sn 0.6638 0.8362 0.5000
Sn 0.1638 0.6638 0.5000
Sn 0.3362 0.1638 0.5000
Mg 0.6527 0.1527 0.0000
Sn 0.8362 0.3362 0.5000
Mg 0.8473 0.6527 0.0000
Mg 0.3473 0.8473 0.0000
Pt 0.0000 0.0000 0.0000
Pt 0.5000 0.5000 0.0000

## Properties
- VASP energy (Ry per atom) = -0.264
- E_form (kJ/mol of atoms) = -14

---

Entry from the Alexandria database: Pa6FeCo5 after structural relaxation (PBE-GGA).

abc: 6.7011 6.4138 6.4138
angles: 119.19 98.80 98.80
Sites, in units of the cell vectors:
Co 0.5000 0.5000 0.5000
Co 0.0000 0.6659 0.3341
Pa 0.7527 0.5873 0.9178
Pa 0.2495 0.7533 0.7533
Co 0.0000 0.3341 0.6659
Co 0.5000 0.1693 0.8307
Pa 0.7505 0.2467 0.2467
Fe 0.0000 0.0000 0.0000
Pa 0.2473 0.0822 0.4127
Pa 0.2473 0.4127 0.0822
Pa 0.7527 0.9178 0.5873
Co 0.5000 0.8307 0.1693

## Properties
- VASP energy (Ry per atom) = -0.639
- E_form (kJ/mol of atoms) = -27

---

Entry from the Alexandria database: CeHo2TaN4 after structural relaxation (PBE-GGA).

abc: 3.3570 5.8818 5.8301
angles: 108.88 90.00 90.00
Sites, in units of the cell vectors:
N 0.5000 0.2251 0.2282
N 0.5000 0.7749 0.7718
Ho 0.0000 0.5000 0.5000
Ho 0.5000 0.0000 0.5000
Ce 0.5000 0.5000 0.0000
N 0.0000 0.7707 0.2398
N 0.0000 0.2293 0.7602
Ta 0.0000 0.0000 0.0000

## Properties
- VASP energy (Ry per atom) = -0.662
- raw formation energy (meV/atom) = -1476

---

Entry from the Alexandria database: SrTaSi2 after structural relaxation (PBE-GGA).

abc: 4.6739 4.6739 6.1324
angles: 74.25 74.25 44.88
Sites, in units of the cell vectors:
Sr 0.7500 0.7500 0.7500
Si 0.9808 0.9808 0.1230
Ta 0.2500 0.2500 0.2500
Si 0.5192 0.5192 0.3770

## Properties
- VASP energy (Ry per atom) = -0.460
- raw formation energy (meV/atom) = -165

---

Entry from the Alexandria database: PaTaReSi2 after structural relaxation (PBE-GGA).

abc: 3.9902 3.9902 6.2555
angles: 108.60 108.60 90.00
Sites, in units of the cell vectors:
Si 0.6052 0.6052 0.2104
Ta 0.7500 0.2500 0.5000
Si 0.3948 0.3948 0.7896
Pa 0.0000 0.0000 0.0000
Re 0.2500 0.7500 0.5000

## Properties
- VASP energy (Ry per atom) = -0.691
- raw formation energy (meV/atom) = -471

---

Entry from the Alexandria database: Pu2As2Rh after structural relaxation (PBE-GGA).

abc: 4.2451 4.2451 7.2563
angles: 90.00 90.00 120.00
Site moments in Bohr magnetons follow the coordinates.
Sites, in units of the cell vectors:
As 0.6667 0.3333 0.0000  -0.13
As 0.3333 0.6667 0.5000  -0.20
Pu 0.0000 0.0000 0.7414  5.00
Rh 0.3333 0.6667 0.0000  -0.44
Pu 0.0000 0.0000 0.2586  5.00

## Properties
- VASP energy (Ry per atom) = -0.724
- E_form (kJ/mol of atoms) = -76

---

no.,total moment (μB per formula unit)
1,0.00
2,0.00
3,0.00
4,0.00
5,0.00
6,9.38